(1)
First-principles (GGA-PBE) data for Sr4ZnGa after structural relaxation, as listed in Alexandria.

Values from the calculation:
The density is 3.591 g/cm3. The calculation puts the density of states at the Fermi level at 6.02 states/eV per cell. The value obtained for the energy of formation from the pure elements is -4.78 kcal/mol of atoms. The value obtained for the excess energy over the best structure of this formula in the dataset is 0.0 meV per atom. Its space group is No. 123. Its crystal system is tetragonal.

Cell lengths 3.9654, 3.9654, 14.2823 Å; angles 90.00, 90.00, 90.00 degrees
Positions (direct):
Sr  0.0000  0.0000  0.1294
Sr  0.0000  0.0000  0.8706
Sr  0.5000  0.5000  0.3672
Sr  0.5000  0.5000  0.6328
Zn  0.0000  0.0000  0.5000
Ga  0.5000  0.5000  0.0000



(2)
First-principles (GGA-PBE) data for Sr5Zn5Ga2 after structural relaxation, as listed in Alexandria.

Values from the calculation:
The density is 4.337 g/cm3. The calculation puts the density of states at the Fermi level at 9.51 states/eV per cell. The value obtained for the energy of formation from the pure elements is -5.41 kcal/mol of atoms. Its space group is No. 12. Its crystal system is monoclinic.

Cell lengths 8.6418, 8.6418, 12.3073 Å; angles 129.95, 129.95, 30.31 degrees
Positions (direct):
Sr  0.0000  0.0000  0.0000
Sr  0.1062  0.1062  0.4180
Sr  0.1968  0.1968  0.8184
Sr  0.8032  0.8032  0.1816
Sr  0.8938  0.8938  0.5820
Zn  0.2528  0.2528  0.3269
Zn  0.4482  0.4482  0.1547
Zn  0.5000  0.5000  0.5000
Zn  0.5518  0.5518  0.8453
Zn  0.7472  0.7472  0.6731
Ga  0.3482  0.3482  0.7384
Ga  0.6518  0.6518  0.2616



(3)
First-principles (GGA-PBE) data for Sr2Zn3Ga2 after structural relaxation, as listed in Alexandria.

Values from the calculation:
The density is 5.095 g/cm3. The calculation puts the density of states at the Fermi level at 2.92 states/eV per cell. The value obtained for the energy of formation from the pure elements is -6.41 kcal/mol of atoms. The value obtained for the excess energy over the best structure of this formula in the dataset is 9.2 meV per atom. Its space group is No. 12. Its crystal system is monoclinic.

Cell lengths 6.1191, 6.1191, 6.7879 Å; angles 104.03, 104.03, 42.73 degrees
Positions (direct):
Sr  0.1134  0.1134  0.3398
Sr  0.8866  0.8866  0.6602
Zn  0.2196  0.2196  0.8795
Zn  0.5000  0.5000  0.0000
Zn  0.7804  0.7804  0.1205
Ga  0.3872  0.3872  0.2717
Ga  0.6128  0.6128  0.7283



(4)
First-principles (GGA-PBE) data for Sr2ZnGa7 after structural relaxation, as listed in Alexandria.

Values from the calculation:
The density is 5.637 g/cm3. The calculation puts the density of states at the Fermi level at 2.18 states/eV per cell. The value obtained for the energy of formation from the pure elements is -9.52 kcal/mol of atoms. Its space group is No. 115. Its crystal system is tetragonal.

Cell lengths 4.4427, 4.4427, 10.8750 Å; angles 90.00, 90.00, 90.00 degrees
Positions (direct):
Sr  0.0000  0.5000  0.2465
Sr  0.5000  0.0000  0.7535
Zn  0.5000  0.5000  0.0000
Ga  0.0000  0.0000  0.0000
Ga  0.0000  0.0000  0.5000
Ga  0.0000  0.5000  0.6354
Ga  0.0000  0.5000  0.8701
Ga  0.5000  0.0000  0.1299
Ga  0.5000  0.0000  0.3646
Ga  0.5000  0.5000  0.5000



> Which value of energy of formation from the pure elements does entry 3 give?

-6.41 kcal/mol of atoms



Please write out number 3 again, unchanged.
First-principles (GGA-PBE) data for Sr2Zn3Ga2 after structural relaxation, as listed in Alexandria.

Values from the calculation:
The density is 5.095 g/cm3. The calculation puts the density of states at the Fermi level at 2.92 states/eV per cell. The value obtained for the energy of formation from the pure elements is -6.41 kcal/mol of atoms. The value obtained for the excess energy over the best structure of this formula in the dataset is 9.2 meV per atom. Its space group is No. 12. Its crystal system is monoclinic.

Cell lengths 6.1191, 6.1191, 6.7879 Å; angles 104.03, 104.03, 42.73 degrees
Positions (direct):
Sr  0.1134  0.1134  0.3398
Sr  0.8866  0.8866  0.6602
Zn  0.2196  0.2196  0.8795
Zn  0.5000  0.5000  0.0000
Zn  0.7804  0.7804  0.1205
Ga  0.3872  0.3872  0.2717
Ga  0.6128  0.6128  0.7283